Record 1
Here is a relaxed ReRu2 crystal from the Alexandria database. Energies are from GGA-PBE.

total DFT energy (no corrections) = -92.77 eV per cell
E_form = 26 meV per atom
magnetic moment = 0.0 μB/f.u.

Cell lengths 7.3780, 7.3780, 2.7527 Å; angles 90.00, 90.00, 120.00 degrees
Space group P-62m (No. 189)
Unique sites:
Re 0.0000 0.0000 0.0000 [1 per cell]
Re 0.3333 0.6667 0.5000 [2 per cell]
Ru 0.0000 0.3009 0.5000 [3 per cell]
Ru 0.0000 0.6399 0.0000 [3 per cell]


Record 2
Here is a relaxed ReRu2 crystal from the Alexandria database. Energies are from GGA-PBE.

total DFT energy (no corrections) = -246.86 eV per cell
E_form = 47 meV per atom
magnetic moment = 0.0 μB/f.u.

Cell lengths 3.855, 3.855, 23.045 Å; angles 90.00, 90.00, 90.00 degrees
Space group I4_1/amd (No. 141, origin choice 2)
Unique sites:
Re 0.000 0.250 0.291 [8 per cell]
Ru 0.000 0.250 0.124 [8 per cell]
Ru 0.000 0.250 0.792 [8 per cell]


Record 3
Here is a relaxed Re3Ru2 crystal from the Alexandria database. Energies are from GGA-PBE.

total DFT energy (no corrections) = -442.63 eV per cell
E_form = 113 meV per atom
magnetic moment = 0.0 μB/f.u.

Cell lengths 9.400, 13.164, 4.770 Å; angles 90.00, 90.00, 90.00 degrees
Space group Fdd2 (No. 43)
Unique sites:
Re 0.000 0.000 0.000 [8 per cell]
Re 0.050 0.101 0.467 [16 per cell]
Ru 0.034 0.204 0.945 [16 per cell]